[1]
# ScGeRu

A relaxed structure of ScGeRu (PBE, Alexandria).

Crystal system ... orthorhombic
Symmetry ... Pmma
Magnetic moment ... 0.00 μB per formula unit
Final energy ... -7.4590 eV per atom

Lattice parameters (Å, degrees): 3.461 6.941 12.407 90.00 90.00 90.00
Sites, in units of the cell vectors:
Ge (0.500, 0.943, 0.595)
Ge (0.500, 0.057, 0.405)
Ge (0.500, 0.057, 0.095)
Ge (0.500, 0.943, 0.905)
Ge (0.000, 0.442, 0.750)
Ge (0.000, 0.558, 0.250)
Sc (0.000, 0.267, 0.955)
Sc (0.000, 0.733, 0.045)
Sc (0.000, 0.733, 0.455)
Sc (0.000, 0.836, 0.750)
Sc (0.000, 0.164, 0.250)
Sc (0.000, 0.267, 0.545)
Ru (0.500, 0.428, 0.124)
Ru (0.500, 0.572, 0.876)
Ru (0.500, 0.811, 0.250)
Ru (0.500, 0.189, 0.750)
Ru (0.500, 0.428, 0.376)
Ru (0.500, 0.572, 0.624)

***

[2]
# TlHg2P

A relaxed structure of TlHg2P (PBE, Alexandria).

Crystal system ... cubic
Symmetry ... F-43m
Offset from the most stable computed form ... 176 meV per atom
Magnetic moment ... 0.00 μB per formula unit
Final energy ... -1.7743 eV per atom

Lattice parameters (Å, degrees): 5.166 5.166 5.166 60.00 60.00 60.00
Sites, in units of the cell vectors:
Hg (0.250, 0.250, 0.250)
Hg (0.000, 0.000, 0.000)
P (0.500, 0.500, 0.500)
Tl (0.750, 0.750, 0.750)

***

[3]
# Zr6CdPd

A relaxed structure of Zr6CdPd (PBE, Alexandria).

Crystal system ... trigonal
Symmetry ... R-3
Magnetic moment ... 0.00 μB per formula unit
Final energy ... -7.3537 eV per atom

Lattice parameters (Å, degrees): 7.861 7.867 5.562 44.93 44.97 59.89
Sites, in units of the cell vectors:
Zr (0.499, 0.754, 0.748)
Zr (0.754, 0.000, 0.746)
Zr (0.001, 0.498, 0.255)
Zr (0.501, 0.246, 0.252)
Zr (0.999, 0.502, 0.745)
Zr (0.246, 0.000, 0.254)
Pd (0.000, 0.000, 0.000)
Cd (0.500, 0.500, 0.500)

***

[4]
# RbBe2CdAu

A relaxed structure of RbBe2CdAu (PBE, Alexandria).

Crystal system ... tetragonal
Symmetry ... P4/mmm
Magnetic moment ... 0.00 μB per formula unit
Final energy ... -0.6982 eV per atom

Lattice parameters (Å, degrees): 6.375 6.726 6.375 90.00 90.00 90.00
Sites, in units of the cell vectors:
Cd (0.000, 0.500, 0.000)
Be (0.000, 0.000, 0.500)
Be (0.500, 0.000, 0.000)
Au (0.500, 0.500, 0.500)
Rb (0.000, 0.000, 0.000)

***

[5]
# CaP2WS

A relaxed structure of CaP2WS (PBE, Alexandria).

Crystal system ... tetragonal
Symmetry ... P4/mmm
Offset from the most stable computed form ... 2008 meV per atom
Magnetic moment ... 2.68 μB per formula unit
Final energy ... -4.2821 eV per atom

Lattice parameters (Å, degrees): 5.009 5.009 4.963 90.00 90.00 90.00
Last column: magnetic moment on the atom in μB.
Sites, in units of the cell vectors:
P (0.000, 0.500, 0.000)  -0.19
P (0.500, 0.000, 0.000)  -0.19
S (0.000, 0.000, 0.500)  -0.23
W (0.500, 0.500, 0.500)  2.90
Ca (0.000, 0.000, 0.000)  0.00

***

[6]
# La2Cu

A relaxed structure of La2Cu (PBE, Alexandria).

Crystal system ... orthorhombic
Symmetry ... Pnnm
Magnetic moment ... 0.00 μB per formula unit
Final energy ... -4.5731 eV per atom

Lattice parameters (Å, degrees): 3.803 6.765 7.440 90.00 90.00 90.00
Sites, in units of the cell vectors:
Cu (0.000, 0.000, 0.000)
Cu (0.500, 0.500, 0.500)
La (0.000, 0.357, 0.218)
La (0.500, 0.143, 0.718)
La (0.500, 0.857, 0.282)
La (0.000, 0.643, 0.782)

***

- What is the magnetic moment in the first record?
  0.00 μB per formula unit

***

- Which of these has the highest final energy?
  RbBe2CdAu

***

- final energy of number 1 (ScGeRu)?
  -7.4590 eV per atom